Density functional theory data (PBE+U) for crystalline FeN2F at its relaxed geometry.

Properties
Density, g/cm³: 4.71
Uncorrected energy, eV for the cell shown: -18.1
V, A^3/atom: 9.062

a b c (Å): 3.715 3.715 3.715
angles (deg): 60.00 60.00 60.00
Sites, in units of the cell vectors:
N 0.250 0.250 0.250
N 0.750 0.750 0.750
Fe 0.500 0.500 0.500
F 0.000 0.000 0.000